TaInNiPd | Alexandria | GGA-PBE | relaxed; symmetry = F-43m, No. 216; energy = -26.3 eV for the cell shown
1.0
0.000 3.183 3.183
3.183 0.000 3.183
3.183 3.183 0.000
Ta In Ni Pd
1 1 1 1
Direct
0.000 0.000 0.000
0.500 0.500 0.500
0.750 0.750 0.750
0.250 0.250 0.250

TbInNiPd | Alexandria | GGA-PBE | relaxed; symmetry = F-43m, No. 216; energy = -20.6 eV for the cell shown
1.0
0.000 3.345 3.345
3.345 0.000 3.345
3.345 3.345 0.000
Tb In Ni Pd
1 1 1 1
Direct
0.000 0.000 0.000
0.500 0.500 0.500
0.750 0.750 0.750
0.250 0.250 0.250

UInNiPd | Alexandria | GGA-PBE | relaxed; symmetry = F-43m, No. 216; energy = -25.8 eV for the cell shown
1.0
0.000 3.348 3.348
3.348 0.000 3.348
3.348 3.348 0.000
U In Ni Pd
1 1 1 1
Direct
0.000 0.000 0.000
0.500 0.500 0.500
0.250 0.250 0.250
0.750 0.750 0.750

VInNiPd | Alexandria | GGA-PBE | relaxed; symmetry = F-43m, No. 216; energy = -23.2 eV for the cell shown
1.0
0.000 3.130 3.130
3.130 0.000 3.130
3.130 3.130 0.000
V In Ni Pd
1 1 1 1
Direct
0.000 0.000 0.000
0.500 0.500 0.500
0.750 0.750 0.750
0.250 0.250 0.250

InNi2PdW | Alexandria | GGA-PBE | relaxed; symmetry = P4/mmm, No. 123; energy = -25.9 eV for the cell shown
1.0
4.475 0.000 0.000
0.000 4.475 0.000
0.000 0.000 5.256
In Ni Pd W
1 2 1 1
Direct
0.000 0.000 0.000
0.000 0.500 0.500
0.500 0.000 0.500
0.500 0.500 0.000
0.000 0.000 0.500

YInNiPd | Alexandria | GGA-PBE | relaxed; symmetry = F-43m, No. 216; energy = -22.4 eV for the cell shown
1.0
0.000 3.342 3.342
3.342 0.000 3.342
3.342 3.342 0.000
Y In Ni Pd
1 1 1 1
Direct
0.000 0.000 0.000
0.500 0.500 0.500
0.750 0.750 0.750
0.250 0.250 0.250

Zn2InNiPd | Alexandria | GGA-PBE | relaxed; symmetry = P4/mmm, No. 123; energy = -13.7 eV for the cell shown
1.0
4.657 0.000 0.000
0.000 4.657 0.000
0.000 0.000 4.989
Zn In Ni Pd
2 1 1 1
Direct
0.000 0.500 0.000
0.500 0.000 0.000
0.000 0.000 0.500
0.500 0.500 0.500
0.000 0.000 0.000

ZrInNiPd | Alexandria | GGA-PBE | relaxed; symmetry = F-43m, No. 216; energy = -24.3 eV for the cell shown
1.0
0.000 3.251 3.251
3.251 0.000 3.251
3.251 3.251 0.000
Zr In Ni Pd
1 1 1 1
Direct
0.000 0.000 0.000
0.500 0.500 0.500
0.250 0.250 0.250
0.750 0.750 0.750

Pm3InNi | Alexandria | GGA-PBE | relaxed; relative energy among the computed polymorphs = 113 meV/atom; symmetry = Pm-3m, No. 221; energy = -23.7 eV for the cell shown
1.0
5.322 0.000 0.000
0.000 5.322 0.000
0.000 0.000 5.322
Pm In Ni
3 1 1
Direct
0.000 0.000 0.500
0.000 0.500 0.000
0.500 0.000 0.000
0.500 0.500 0.500
0.000 0.000 0.000

PmIn3Ni8 | Alexandria | GGA-PBE | relaxed; symmetry = R3m, No. 160; energy = -61.4 eV for the cell shown
1.0
2.486 1.435 8.211
-2.486 1.435 8.211
0.000 -2.870 8.211
Pm In Ni
1 3 8
Direct
0.000 0.000 0.000
0.126 0.126 0.126
0.497 0.497 0.497
0.618 0.618 0.618
0.062 0.062 0.556
0.062 0.556 0.062
0.064 0.563 0.563
0.311 0.311 0.311
0.556 0.062 0.062
0.563 0.064 0.563
0.563 0.563 0.064
0.812 0.812 0.812

Pm3InNi | Alexandria | GGA-PBE | relaxed; relative energy among the computed polymorphs = 41 meV/atom; symmetry = P2_1/c, No. 14; energy = -96.0 eV for the cell shown
1.0
10.036 0.000 0.000
0.000 6.660 0.000
-3.787 0.000 8.789
Pm In Ni
12 4 4
Direct
0.080 0.070 0.359
0.080 0.430 0.859
0.195 0.579 0.546
0.195 0.921 0.046
0.392 0.100 0.772
0.392 0.400 0.272
0.608 0.600 0.728
0.608 0.900 0.228
0.805 0.079 0.954
0.805 0.421 0.454
0.920 0.570 0.141
0.920 0.930 0.641
0.400 0.656 0.917
0.400 0.844 0.417
0.600 0.156 0.583
0.600 0.344 0.083
0.098 0.229 0.623
0.098 0.271 0.123
0.902 0.729 0.877
0.902 0.771 0.377

PmIn4Ni4 | Alexandria | GGA-PBE | relaxed; relative energy among the computed polymorphs = 91 meV/atom; symmetry = P4_2/n, No. 86; energy = -78.7 eV for the cell shown
1.0
8.462 0.000 0.000
0.000 8.462 0.000
0.000 0.000 5.147
Pm In Ni
2 8 8
Direct
0.250 0.250 0.250
0.750 0.750 0.750
0.092 0.638 0.144
0.138 0.908 0.644
0.362 0.592 0.644
0.408 0.862 0.144
0.592 0.138 0.856
0.638 0.408 0.356
0.862 0.092 0.356
0.908 0.362 0.856
0.051 0.601 0.643
0.101 0.949 0.143
0.399 0.551 0.143
0.449 0.899 0.643
0.551 0.101 0.357
0.601 0.449 0.857
0.899 0.051 0.857
0.949 0.399 0.357

Taking the records one at a time from the top gives energy of formation values of -0.77 -2.24 -0.76 -0.38 6.53 -2.26 2.55 -2.07 -0.88 -2.21 -1.24 -0.52 eV per formula unit.